Crystalline CsTlCd2Sn at its relaxed geometry. Source: Alexandria via LeMat-Bulk, functional PBE.

Values from the calculation:
Its formation energy is 0.110 eV/atom. The value obtained for the density of states at the Fermi level is 4.29 states/eV/cell. The calculation puts the total energy at -1.701 eV per atom.

Unit cell a=6.055 b=6.055 c=5.888 alpha=90.00 beta=90.00 gamma=90.00
Space group P4/mmm (No. 123)
Asymmetric unit:
Cs  0.000  0.000  0.000 (multiplicity 1)
Tl  0.500  0.500  0.000 (multiplicity 1)
Cd  0.000  0.500  0.500 (multiplicity 2)
Sn  0.500  0.500  0.500 (multiplicity 1)

Crystalline RbS2O at its relaxed geometry. Source: Alexandria via LeMat-Bulk, functional PBE.

Values from the calculation:
The value obtained for the density of states at the Fermi level is 3.67 states/eV/cell. The calculation puts the uncorrected formation energy at 0.02 eV per atom. The calculation puts the total energy at -3.525 eV per atom.

Unit cell a=4.1208 b=4.1208 c=17.0244 alpha=90.00 beta=90.00 gamma=120.00
Space group R-3m (No. 166, hexagonal axes)
Asymmetric unit:
Rb  0.0000  0.0000  0.0000 (multiplicity 3)
S  0.0000  0.0000  0.1815 (multiplicity 6)
O  0.0000  0.0000  0.5000 (multiplicity 3)